(1)
The following is a PBE calculation of crystalline Pr2Y3Sn4 at its relaxed geometry, from Alexandria via LeMat-Bulk.

Excess energy over the best structure of this formula in the dataset: 0.000 eV/atom
Space group: P2_1/c, No. 14
Final energy: -104.69 eV per cell
Density: 6.4 g/cm³

Structure (POSCAR):
```
Pr2Y3Sn4
1.0
8.0723 -0.1245 0.0000
-2.7702 7.8970 0.0000
0.0000 0.0000 8.3733
Pr Y Sn
4 6 8
Cartesian
4.0166 1.4512 2.6997
5.3216 6.2591 6.8863
1.2854 6.3213 5.6735
-0.0195 1.5134 1.4869
-1.3851 3.9485 4.1866
2.6510 3.8862 0.0000
5.3115 1.8597 6.9645
4.0267 5.8505 2.7778
-0.0095 5.9128 1.4088
1.2754 1.9220 5.5954
6.5822 0.5449 4.5145
2.7560 7.1653 0.3279
-1.2802 7.2276 3.8588
2.5461 0.6071 8.0454
5.6150 3.7557 1.1241
3.7232 3.9545 5.3107
-0.3130 4.0167 7.2492
1.5789 3.8180 3.0626
```


(2)
The following is a PBE calculation of crystalline Pr4YSn4 at its relaxed geometry, from Alexandria via LeMat-Bulk.

Space group: P4_2/n, No. 86
Final energy: -92.29 eV per cell
Density: 6.3 g/cm³

Structure (POSCAR):
```
Pr4YSn4
1.0
-1.5518 3.6670 -5.1652
1.3623 -7.5319 -5.7565
-9.2018 -2.4486 1.0261
Pr Y Sn
8 2 8
Cartesian
-8.6290 -3.0839 -2.5998
-7.8034 -3.1360 -7.0022
-0.3422 -4.2222 -5.8976
-5.2684 -2.5215 -1.3218
-6.2835 -6.3344 -7.8410
-2.9911 -6.4665 -4.8066
-2.7196 -0.5032 -6.6604
-3.5278 1.0134 -3.4525
0.0000 0.0000 0.0000
-4.6956 -3.1568 -4.9478
-3.5599 -4.4100 -7.3521
-6.2736 -0.8585 -4.0155
-5.7162 -7.9864 -5.1260
-9.1756 -1.0800 -5.0713
-1.3251 -2.6117 -8.5173
-2.1301 -2.2078 -3.8713
-6.8189 -5.1509 -4.5521
-2.5656 -0.9490 -1.0764
```


(3)
The following is a PBE calculation of crystalline PrYSn2 at its relaxed geometry, from Alexandria via LeMat-Bulk.

Space group: R-3m, No. 166
Final energy: -21.44 eV per cell
Density: 6.2 g/cm³

Structure (POSCAR):
```
PrYSn2
1.0
4.1124 0.0000 0.0000
2.0562 3.5614 0.0000
2.0562 1.1871 8.5299
Pr Y Sn
1 1 2
Cartesian
0.0000 0.0000 0.0000
4.1124 2.3743 4.2650
6.1686 3.5614 6.3262
2.0562 1.1871 2.2037
```


(4)
The following is a PBE calculation of crystalline Pr2Y2Sn3 at its relaxed geometry, from Alexandria via LeMat-Bulk.

Space group: C2/m, No. 12
Final energy: -38.41 eV per cell
Density: 5.7 g/cm³

Structure (POSCAR):
```
Pr2Y2Sn3
1.0
-1.6078 3.8373 -2.8344
-3.5182 -1.2949 4.7126
5.6003 5.3221 4.0321
Pr Y Sn
2 2 3
Cartesian
-0.3890 5.8377 3.6561
0.8634 2.0269 2.2541
3.1437 7.0432 3.2846
-2.6694 0.8213 2.6257
0.0000 0.0000 0.0000
-1.8732 3.7654 1.6894
2.3476 4.0991 4.2209
```


(5)
The following is a PBE calculation of crystalline Pr3Y12Sn5 at its relaxed geometry, from Alexandria via LeMat-Bulk.

Space group: Ia-3d, No. 230
Final energy: -423.40 eV per cell
Density: 4.5 g/cm³

Structure (POSCAR):
```
Pr3Y12Sn5
1.0
-7.1355 9.4489 -10.6314
-10.7694 -9.7378 6.5129
6.6674 8.9047 11.3788
Pr Sn Y
12 20 48
Cartesian
-8.5567 4.5481 -4.1089
-13.4872 2.0775 -2.9954
-6.5857 1.8054 8.0096
-0.6298 4.4842 2.4233
-5.9229 9.2767 -5.6437
-7.7398 -0.3166 2.9285
-3.4976 8.9324 4.3318
-5.3146 -0.6610 12.9039
-10.6077 4.1315 4.8370
-4.6518 6.8104 -0.7494
2.2497 6.5382 10.2557
-2.6808 4.0677 11.3691
-3.2636 -0.2444 3.9581
-5.3847 -4.8689 3.2564
0.0000 0.0000 0.0000
-4.5347 2.2220 -0.9362
-0.2340 9.1768 0.3737
-8.9525 -0.1445 -2.0592
-6.4687 -2.7830 7.8228
-0.8638 13.6610 2.7970
-9.5822 4.3398 0.3641
0.9786 9.0046 5.3614
-12.2161 -0.3889 1.8989
-5.6187 4.3079 3.6301
-3.5678 4.7245 -5.3157
3.3337 4.4523 5.6894
-1.6553 4.2760 6.8962
-10.3737 -5.0453 4.4633
-2.0510 -0.4166 8.9458
-4.7688 11.3988 -0.5625
-6.7027 6.3938 8.1965
-7.9739 8.8602 3.3022
-6.0851 6.0526 -6.3460
-5.3633 1.5947 4.9476
-9.0463 7.7979 -4.4458
-5.4638 4.0816 -3.0454
-7.5404 4.6669 5.9412
-11.8131 4.9814 -4.4592
-8.0947 -0.9590 6.1497
-9.4110 -7.0340 6.4352
-9.8689 2.0974 7.7856
-10.4466 2.4715 -1.7649
-7.9163 6.3709 -1.0032
-15.5984 -0.8091 -2.2286
-4.9342 -1.0206 9.6419
-6.6714 0.3372 -0.1286
-8.1683 -4.6850 9.3274
-0.3055 7.7166 3.0242
-1.1175 1.2186 2.5354
-10.0013 -1.6204 0.3665
-13.7136 1.5725 0.2616
-4.6627 -2.1399 2.1638
-7.7895 1.2846 11.0419
-8.0673 2.9415 2.4901
-11.8987 5.5753 1.7343
-3.1115 12.2020 4.0575
-3.1702 5.6743 4.7702
0.6612 3.0404 5.5260
-8.1259 -3.5862 3.2028
2.4761 7.0432 6.9987
-3.4480 7.3311 -3.7816
-6.5747 10.7557 5.0965
-1.2362 10.2361 6.8938
-10.9320 0.8991 4.2361
-10.1199 7.3971 4.7248
-3.0691 13.3008 -2.0671
-6.3032 9.6363 -2.3816
4.3609 9.4249 9.4889
-4.5660 8.2786 7.3889
-1.3686 6.5184 -0.5253
-0.7909 6.1442 9.0252
-3.3212 2.2449 8.2635
-1.8265 15.6497 0.8251
-3.1428 9.5747 1.1106
-5.7737 4.5342 10.3057
0.5756 3.6343 11.7195
-3.6971 3.9489 1.3191
-2.1911 0.8178 11.7061
-5.8742 7.0211 2.3127
-5.1524 2.5631 13.6063
```


(6)
The following is a PBE calculation of crystalline PrYSn2 at its relaxed geometry, from Alexandria via LeMat-Bulk.

Space group: P4/mmm, No. 123
Final energy: -21.90 eV per cell
Density: 6.9 g/cm³

Structure (POSCAR):
```
PrYSn2
1.0
3.5239 0.0000 0.0000
0.0000 3.5239 0.0000
0.0000 0.0000 8.9908
Pr Y Sn
1 1 2
Cartesian
1.7619 1.7619 4.4954
1.7619 1.7619 0.0000
0.0000 0.0000 6.8254
0.0000 0.0000 2.1654
```


(7)
The following is a PBE calculation of crystalline PrYSn2 at its relaxed geometry, from Alexandria via LeMat-Bulk.

Space group: Amm2, No. 38
Final energy: -22.32 eV per cell
Density: 6.6 g/cm³

Structure (POSCAR):
```
PrYSn2
1.0
4.6089 0.0000 -0.0303
0.0000 4.3702 0.0000
-2.2645 0.0000 5.8368
Pr Y Sn
1 1 2
Cartesian
1.0812 2.1851 2.5162
1.0997 0.0000 5.6640
-1.2074 2.1851 5.1714
3.3883 0.0000 3.0257
```


(8)
The following is a PBE calculation of crystalline Pr2Y3Sn4 at its relaxed geometry, from Alexandria via LeMat-Bulk.

Excess energy over the best structure of this formula in the dataset: 0.166 eV/atom
Space group: Cmce, No. 64
Final energy: -101.69 eV per cell
Density: 6.2 g/cm³

Structure (POSCAR):
```
Pr2Y3Sn4
1.0
-4.1695 5.6536 -0.9295
-4.0659 -1.7150 7.8068
7.8521 2.0983 4.5504
Pr Y Sn
4 6 8
Cartesian
-1.1224 0.0778 5.5078
0.7391 5.9591 5.9198
4.1268 3.6819 3.8829
-4.5101 2.3550 7.5448
0.0000 0.0000 0.0000
-4.1177 1.9693 3.4386
-0.7086 3.0163 8.0194
-1.7594 5.8475 2.9435
0.3253 3.0207 3.4083
1.3761 0.1895 8.4842
1.3147 4.7441 9.4527
-3.7828 4.1196 1.5102
-1.6980 1.2928 1.9749
3.3994 1.9173 9.9175
-1.6903 0.2172 8.9029
1.3069 5.8197 2.5248
1.8053 2.3238 6.0356
-2.1887 3.7132 5.3921
```


(9)
The following is a PBE calculation of crystalline Pr9YSn2 at its relaxed geometry, from Alexandria via LeMat-Bulk.

Space group: P4/mmm, No. 123
Final energy: -60.85 eV per cell
Density: 6.8 g/cm³

Structure (POSCAR):
```
Pr9YSn2
1.0
5.0282 0.0000 0.0000
0.0000 5.0282 0.0000
0.0000 0.0000 15.4684
Pr Y Sn
9 1 2
Cartesian
2.5141 2.5141 0.0000
2.5141 2.5141 5.2507
2.5141 2.5141 10.2177
2.5141 0.0000 2.7263
2.5141 0.0000 7.7342
2.5141 0.0000 12.7421
0.0000 2.5141 2.7263
0.0000 2.5141 7.7342
0.0000 2.5141 12.7421
0.0000 0.0000 0.0000
0.0000 0.0000 5.2301
0.0000 0.0000 10.2384
```


(10)
The following is a PBE calculation of crystalline Pr5YSn6 at its relaxed geometry, from Alexandria via LeMat-Bulk.

Space group: C2/m, No. 12
Final energy: -62.10 eV per cell
Density: 6.8 g/cm³

Structure (POSCAR):
```
Pr5YSn6
1.0
9.4732 -0.1086 0.0000
2.6475 5.2836 0.0000
1.3237 2.6418 7.3003
Pr Y Sn
5 1 6
Cartesian
6.0603 2.5875 4.7889
1.3237 2.6418 2.3660
6.0603 2.5875 0.0000
2.6475 5.2836 4.9343
7.3841 5.2294 2.5114
0.0000 0.0000 0.0000
7.7895 1.1586 2.3853
4.3312 4.0165 2.3853
2.9825 1.1028 0.0000
9.1381 4.0723 0.0000
9.1132 3.8004 4.9150
5.6549 6.6583 4.9150
```


(11)
The following is a PBE calculation of crystalline Pr8YSn6 at its relaxed geometry, from Alexandria via LeMat-Bulk.

Space group: R-3, No. 148
Final energy: -77.30 eV per cell
Density: 6.3 g/cm³

Structure (POSCAR):
```
Pr8YSn6
1.0
9.4056 0.0000 0.0000
4.7028 8.1455 0.0000
4.7028 2.7152 6.6536
Pr Y Sn
8 1 6
Cartesian
7.8071 2.7445 2.0592
10.9323 2.7031 4.5944
6.2804 5.4717 4.5944
9.4056 5.4303 0.0142
9.4056 5.4303 6.6393
12.5308 5.3889 2.0592
7.8788 8.1575 2.0592
11.0040 8.1161 4.5944
0.0000 0.0000 0.0000
7.7746 2.7211 5.3111
10.9364 2.6633 1.3425
6.2438 5.4881 1.3425
12.5673 5.3725 5.3111
7.8747 8.1973 5.3111
11.0365 8.1396 1.3425
```


(12)
The following is a PBE calculation of crystalline Pr2YSn3 at its relaxed geometry, from Alexandria via LeMat-Bulk.

Space group: Immm, No. 71
Final energy: -31.60 eV per cell
Density: 6.4 g/cm³

Structure (POSCAR):
```
Pr2YSn3
1.0
5.2470 0.0000 0.0000
0.0000 6.3760 0.0000
-2.6235 -3.1880 5.6454
Pr Y Sn
2 1 3
Cartesian
2.6235 0.0000 1.9462
0.0000 3.1880 3.6992
0.0000 3.1880 0.0000
0.0000 0.0000 3.9501
0.0000 0.0000 0.0000
2.6235 3.1880 1.6953
```


Table of formation energy from the elements (eV/atom), in record order: -0.82; -0.51; -0.55; -0.56; 0.30; -0.66; -0.77; -0.65; -0.28; -0.64; -0.57; -0.59
Table of magnetization (μB/f.u.), in record order: 0.000; 0.000; 0.000; 0.000; 2.315; 0.000; 0.000; 0.000; 0.000; 0.000; 0.001; 0.000